A.
This record from Alexandria via LeMat-Bulk describes an optimized crystal structure of BaVSi2O7. The functional is GGA+U.

Cell lengths 7.1361, 7.7833, 7.1361 Å; angles 62.71, 90.00, 117.29 degrees
Last column: nearest neighbours and their distance in Å.
Fractional coordinates of all 22 atoms:
1 O 0.0273 0.0000 0.2688  2 Si 1.64
2 O 0.6082 0.7697 0.4618  1 Si 1.63
3 O 0.5382 0.7697 0.8386  1 Si 1.63
4 O 0.7312 0.0000 0.0273  2 Si 1.64
5 O 0.2315 0.7697 0.3918  1 Si 1.63
6 O 0.8386 0.2303 0.2315  1 Si 1.63
7 O 0.1614 0.7697 0.7685  1 Si 1.63
8 O 0.7935 0.5871 0.2065  1 V 1.65
9 O 0.2688 0.0000 0.9727  2 Si 1.64
10 O 0.9727 0.0000 0.7312  2 Si 1.64
11 O 0.4618 0.2303 0.1614  1 Si 1.63
12 O 0.3918 0.2303 0.5382  1 Si 1.63
13 O 0.2065 0.4129 0.7935  1 V 1.65
14 O 0.7685 0.2303 0.6082  1 Si 1.63
15 V 0.6546 0.3092 0.3454  1 O 1.65
16 V 0.3454 0.6908 0.6546  1 O 1.65
17 Si 0.2016 0.0000 0.7531  4 O 1.63-1.64
18 Si 0.7531 0.0000 0.7984  4 O 1.63-1.64
19 Si 0.7984 0.0000 0.2469  4 O 1.63-1.64
20 Si 0.2469 0.0000 0.2016  4 O 1.63-1.64
21 Ba 0.7500 0.5000 0.7500  4 O 2.77
22 Ba 0.2500 0.5000 0.2500  4 O 2.77

Output
Theoretical density (g cm⁻³): 3.9
Space group: I4/m, No. 87


B.
This record from Alexandria via LeMat-Bulk describes an optimized crystal structure of BaVSi2O7. The functional is GGA+U.

Cell lengths 8.2248, 8.2248, 7.1821 Å; angles 90.00, 90.00, 141.47 degrees
Last column: nearest neighbours and their distance in Å.
Fractional coordinates of all 22 atoms:
1 V 0.1172 0.9077 0.2500  1 O 1.64
2 V 0.9077 0.1172 0.7500  1 O 1.64
3 O 0.6429 0.3821 0.7500  2 Si 1.68
4 O 0.5128 0.5128 0.5000  2 Si 1.61
5 O 0.3821 0.6429 0.2500  2 Si 1.68
6 O 0.4102 0.1168 0.0613  1 Si 1.63
7 O 0.4102 0.1168 0.4387  1 Si 1.63
8 O 0.0132 0.0119 0.7500  1 V 1.64
9 O 0.1168 0.4102 0.5613  1 Si 1.63
10 O 0.9082 0.6146 0.4386  1 Si 1.63
11 O 0.9082 0.6146 0.0614  1 Si 1.63
12 O 0.5128 0.5128 0.0000  2 Si 1.61
13 O 0.0119 0.0132 0.2500  1 V 1.64
14 O 0.6146 0.9082 0.5614  1 Si 1.63
15 O 0.1168 0.4102 0.9387  1 Si 1.63
16 O 0.6146 0.9082 0.9386  1 Si 1.63
17 Si 0.4094 0.6157 0.0241  4 O 1.61-1.68
18 Si 0.6157 0.4094 0.5241  4 O 1.61-1.68
19 Si 0.4094 0.6157 0.4759  4 O 1.61-1.68
20 Si 0.6157 0.4094 0.9759  4 O 1.61-1.68
21 Ba 0.8062 0.2193 0.2500  10 O 2.78-2.98
22 Ba 0.2193 0.8062 0.7500  10 O 2.78-2.98

Output
Theoretical density (g cm⁻³): 3.9
Space group: Cmcm, No. 63


From most stable to least stable, the computed energies give B, A.